Material: InFeSb
Method: DFT, PBE-GGA
State: relaxed

Summary:
The value obtained for the theoretical density is 7.8 g/cm³. For the energy relative to the elements, uncorrected, the calculation gives 18.34 kJ/mol of atoms. The energy above the most stable polymorph in this dataset comes out at 0.17 eV per formula unit. The calculation puts the magnetic moment at 1.55 μB/f.u. The space group is F-43m.

Lattice parameters (Å, degrees): 4.447 4.447 4.447 60.00 60.00 60.00
Fractional positions:
Sb  0.500  0.500  0.500
In  0.000  0.000  0.000
Fe  0.250  0.250  0.250